NaNiBiO2 after structural relaxation. Source: Alexandria, functional GGA+U.

Calculated values
- D(E_F) (states/eV/cell) = 1.89
- spin magnetization (μB per cell) = 1.09
- E (eV for the cell shown) = -15.758

Unit cell a=4.2616 b=4.2616 c=4.1906 alpha=90.00 beta=90.00 gamma=90.00
Atoms (fractional coordinates):
1 Na 0.0000 0.0000 0.0000
2 Ni 0.0000 0.0000 0.5000
3 Bi 0.5000 0.5000 0.5000
4 O 0.0000 0.5000 0.0000
5 O 0.5000 0.0000 0.0000


NpCrCd2O6 after structural relaxation. Source: Alexandria, functional GGA+U.

Calculated values
- D(E_F) (states/eV/cell) = 12.89
- spin magnetization (μB per cell) = 10.00
- E (eV for the cell shown) = -142.168

Unit cell a=5.5392 b=5.6761 c=9.7778 alpha=90.00 beta=124.46 gamma=90.00
Atoms (fractional coordinates):
1 Np 0.0000 0.0000 0.0000
2 Np 0.0000 0.5000 0.5000
3 Cr 0.5000 0.0000 0.5000
4 Cr 0.5000 0.5000 0.0000
5 Cd 0.2429 0.0429 0.7497
6 Cd 0.2429 0.4571 0.2497
7 Cd 0.7571 0.5429 0.7503
8 Cd 0.7571 0.9571 0.2503
9 O 0.1419 0.1885 0.4452
10 O 0.1419 0.3115 0.9452
11 O 0.2587 0.7007 0.4420
12 O 0.2587 0.7993 0.9420
13 O 0.3659 0.0522 0.2596
14 O 0.3659 0.4478 0.7596
15 O 0.6341 0.5522 0.2404
16 O 0.6341 0.9478 0.7404
17 O 0.7413 0.2007 0.0580
18 O 0.7413 0.2993 0.5580
19 O 0.8581 0.6885 0.0548
20 O 0.8581 0.8115 0.5548